Pr15Sm4Tm | GGA-PBE | relaxed

Unit cell a=5.221 b=5.221 c=25.997 alpha=90.00 beta=90.00 gamma=90.00
Atoms (fractional coordinates):
Pr  0.500  0.500  0.000
Pr  0.500  0.500  0.199
Pr  0.500  0.500  0.400
Pr  0.500  0.500  0.600
Pr  0.500  0.500  0.801
Pr  0.500  0.000  0.099
Pr  0.500  0.000  0.299
Pr  0.500  0.000  0.500
Pr  0.500  0.000  0.701
Pr  0.500  0.000  0.901
Pr  0.000  0.500  0.099
Pr  0.000  0.500  0.299
Pr  0.000  0.500  0.500
Pr  0.000  0.500  0.701
Pr  0.000  0.500  0.901
Sm  0.000  0.000  0.199
Sm  0.000  0.000  0.400
Sm  0.000  0.000  0.600
Sm  0.000  0.000  0.801
Tm  0.000  0.000  0.000

ρ	6.8	g cm⁻³
E	-94.8	eV for the cell shown
ΔH_f (0 K)	0.012	eV/atom


PrSm6Tm | GGA-PBE | relaxed

Unit cell a=5.121 b=5.121 c=10.231 alpha=90.00 beta=90.00 gamma=90.00
Atoms (fractional coordinates):
Pr  0.000  0.000  0.000
Sm  0.500  0.500  0.000
Sm  0.500  0.500  0.500
Sm  0.500  0.000  0.254
Sm  0.500  0.000  0.746
Sm  0.000  0.500  0.254
Sm  0.000  0.500  0.746
Tm  0.000  0.000  0.500

ρ	7.5	g cm⁻³
energy above the lowest structure with this stoichiometry	0.000	eV per atom
E	-37.4	eV for the cell shown
ΔH_f (0 K)	0.021	eV/atom


PrSm6Tm2 | GGA-PBE | relaxed

Unit cell a=6.101 b=7.566 c=7.566 alpha=60.01 beta=90.00 gamma=90.00
Atoms (fractional coordinates):
Pr  0.000  0.000  0.000
Sm  0.289  0.378  0.812
Sm  0.287  0.812  0.812
Sm  0.289  0.812  0.378
Sm  0.711  0.622  0.188
Sm  0.713  0.188  0.188
Sm  0.711  0.188  0.622
Tm  0.780  0.666  0.666
Tm  0.220  0.334  0.334

ρ	7.6	g cm⁻³
energy above the lowest structure with this stoichiometry	0.185	eV per atom
E	-40.2	eV for the cell shown
ΔH_f (0 K)	0.203	eV/atom


Pr3Sm3Tm5 | GGA-PBE | relaxed

Unit cell a=5.561 b=9.623 c=9.623 alpha=120.00 beta=90.00 gamma=90.00
Atoms (fractional coordinates):
Pr  0.500  0.633  0.633
Pr  0.500  0.000  0.367
Pr  0.500  0.367  0.000
Sm  0.000  0.457  0.457
Sm  0.000  0.543  0.000
Sm  0.000  0.000  0.543
Tm  0.500  0.333  0.667
Tm  0.500  0.667  0.333
Tm  0.500  0.271  0.271
Tm  0.500  0.000  0.729
Tm  0.500  0.729  0.000

ρ	6.4	g cm⁻³
E	-42.2	eV for the cell shown
ΔH_f (0 K)	0.784	eV/atom